The following is a DFT calculation (meta-GGA SCAN) of LiIn at its PBEsol-relaxed geometry.

Computed properties:
The total energy is -18.2876 eV per atom. The calculation puts the total magnetization at 0.00 μB/f.u.

Unit cell a=5.209 b=4.846 c=6.123 alpha=90.00 beta=90.00 gamma=90.00
Space group Pnma (No. 62)
Unique sites:
Li 0.093 0.250 0.126 [4 per cell]
In 0.073 0.250 0.626 [4 per cell]